AlZnMo2 | PBE | optimized geometry

Cell and atoms, written as CIF:
```
data_AlZnMo2
_chemical_formula_sum 'Al1 Zn1 Mo2'
_space_group_name_H-M_alt 'P 1'
_space_group_IT_number 1
_space_group_name_Hall 'P 1'
_cell_length_a 4.803
_cell_length_b 4.803
_cell_length_c 4.889
_cell_angle_alpha 83.60
_cell_angle_beta 83.60
_cell_angle_gamma 33.03
loop_
_atom_site_label
_atom_site_type_symbol
_atom_site_fract_x
_atom_site_fract_y
_atom_site_fract_z
Al1 Al 0.250 0.250 0.258
Mo1 Mo 0.754 0.754 0.752
Mo2 Mo 0.996 0.996 0.997
Zn1 Zn 0.501 0.501 0.493
```

Results
- Total DFT energy (no corrections): -6.6385 eV per atom
- M_tot: 0.000 μB per atom
- Density of states at the Fermi level: 2.49 states/eV/f.u.
- Space-group type: No. 8



La4RuRhCl2 | PBE | optimized geometry

Cell and atoms, written as CIF:
```
data_La4RuRhCl2
_chemical_formula_sum 'La4 Ru1 Rh1 Cl2'
_space_group_name_H-M_alt 'P 1'
_space_group_IT_number 1
_space_group_name_Hall 'P 1'
_cell_length_a 4.140
_cell_length_b 7.155
_cell_length_c 8.044
_cell_angle_alpha 107.28
_cell_angle_beta 90.00
_cell_angle_gamma 90.00
loop_
_atom_site_label
_atom_site_type_symbol
_atom_site_fract_x
_atom_site_fract_y
_atom_site_fract_z
La1 La 0.500 0.769 0.794
La2 La 0.500 0.231 0.206
La3 La 0.000 0.260 0.796
La4 La 0.000 0.740 0.204
Ru1 Ru 0.000 0.000 0.000
Cl1 Cl 0.000 0.500 0.500
Cl2 Cl 0.500 0.000 0.500
Rh1 Rh 0.500 0.500 0.000
```

Results
- Total DFT energy (no corrections): -6.1697 eV per atom
- M_tot: 0.000 μB per atom
- Formation energy from raw total energies: -1.166 eV per atom
- Density of states at the Fermi level: 3.82 states/eV/f.u.
- Space-group type: No. 10